Entry 1:
# CrAg3N (PBEsol, optimized geometry)
# Space-group type: Pm-3m
# Calculated total energy: -3.4907 eV per atom
# Formation energy (no corrections): 1085 kJ/mol of formula units
data_CrAg3N
_cell_length_a 4.9208
_cell_length_b 4.9208
_cell_length_c 4.9208
_cell_angle_alpha 90.00
_cell_angle_beta 90.00
_cell_angle_gamma 90.00
_symmetry_space_group_name_H-M 'P 1'
_symmetry_Int_Tables_number 1
_symmetry_space_group_name_Hall 'P 1'
loop_
_atom_site_label
_atom_site_type_symbol
_atom_site_fract_x
_atom_site_fract_y
_atom_site_fract_z
Cr1 Cr 0.0000 0.0000 0.0000
Ag1 Ag 0.0000 0.0000 0.5000
Ag2 Ag 0.0000 0.5000 0.0000
Ag3 Ag 0.5000 0.0000 0.0000
N1 N 0.5000 0.5000 0.5000

Entry 2:
# CrAgS2N (PBEsol, optimized geometry)
# Space-group type: P4/mmm
# Calculated total energy: -4.9058 eV per atom
# Formation energy (no corrections): 610 kJ/mol of formula units
data_CrAgS2N
_cell_length_a 4.8380
_cell_length_b 4.8380
_cell_length_c 3.8159
_cell_angle_alpha 90.00
_cell_angle_beta 90.00
_cell_angle_gamma 90.00
_symmetry_space_group_name_H-M 'P 1'
_symmetry_Int_Tables_number 1
_symmetry_space_group_name_Hall 'P 1'
loop_
_atom_site_label
_atom_site_type_symbol
_atom_site_fract_x
_atom_site_fract_y
_atom_site_fract_z
Cr1 Cr 0.0000 0.0000 0.0000
Ag1 Ag 0.5000 0.5000 0.5000
S1 S 0.0000 0.5000 0.5000
S2 S 0.5000 0.0000 0.5000
N1 N 0.5000 0.5000 0.0000

Entry 3:
# CrAgSe2N (PBEsol, optimized geometry)
# Space-group type: P4/mmm
# Calculated total energy: -5.7829 eV per atom
# Formation energy (no corrections): 84 kJ/mol of formula units
data_CrAgSe2N
_cell_length_a 4.9014
_cell_length_b 4.9014
_cell_length_c 3.4703
_cell_angle_alpha 90.00
_cell_angle_beta 90.00
_cell_angle_gamma 90.00
_symmetry_space_group_name_H-M 'P 1'
_symmetry_Int_Tables_number 1
_symmetry_space_group_name_Hall 'P 1'
loop_
_atom_site_label
_atom_site_type_symbol
_atom_site_fract_x
_atom_site_fract_y
_atom_site_fract_z
Cr1 Cr 0.0000 0.0000 0.0000
Ag1 Ag 0.5000 0.5000 0.5000
Se1 Se 0.0000 0.5000 0.0000
Se2 Se 0.5000 0.0000 0.0000
N1 N 0.0000 0.0000 0.5000

Entry 4:
# CrAgTe2N (PBEsol, optimized geometry)
# Space-group type: P4/mmm
# Calculated total energy: -5.6545 eV per atom
# Formation energy (no corrections): 83 kJ/mol of formula units
data_CrAgTe2N
_cell_length_a 5.2920
_cell_length_b 5.2920
_cell_length_c 3.4772
_cell_angle_alpha 90.00
_cell_angle_beta 90.00
_cell_angle_gamma 90.00
_symmetry_space_group_name_H-M 'P 1'
_symmetry_Int_Tables_number 1
_symmetry_space_group_name_Hall 'P 1'
loop_
_atom_site_label
_atom_site_type_symbol
_atom_site_fract_x
_atom_site_fract_y
_atom_site_fract_z
Cr1 Cr 0.0000 0.0000 0.0000
Ag1 Ag 0.5000 0.5000 0.5000
Te1 Te 0.0000 0.5000 0.0000
Te2 Te 0.5000 0.0000 0.0000
N1 N 0.0000 0.0000 0.5000

Entry 5:
# TlCr2AgN (PBEsol, optimized geometry)
# Space-group type: P4/mmm
# Calculated total energy: -4.5050 eV per atom
# Formation energy (no corrections): 1199 kJ/mol of formula units
data_TlCr2AgN
_cell_length_a 5.2323
_cell_length_b 5.2323
_cell_length_c 5.2054
_cell_angle_alpha 90.00
_cell_angle_beta 90.00
_cell_angle_gamma 90.00
_symmetry_space_group_name_H-M 'P 1'
_symmetry_Int_Tables_number 1
_symmetry_space_group_name_Hall 'P 1'
loop_
_atom_site_label
_atom_site_type_symbol
_atom_site_fract_x
_atom_site_fract_y
_atom_site_fract_z
Tl1 Tl 0.0000 0.0000 0.0000
Cr1 Cr 0.0000 0.5000 0.0000
Cr2 Cr 0.5000 0.0000 0.0000
Ag1 Ag 0.0000 0.0000 0.5000
N1 N 0.5000 0.5000 0.5000

Entry 6:
# CrAgWN2 (PBEsol, optimized geometry)
# Space-group type: P4/mmm
# Calculated total energy: -6.3041 eV per atom
# Formation energy (no corrections): 1244 kJ/mol of formula units
data_CrAgWN2
_cell_length_a 3.8716
_cell_length_b 3.8716
_cell_length_c 4.7678
_cell_angle_alpha 90.00
_cell_angle_beta 90.00
_cell_angle_gamma 90.00
_symmetry_space_group_name_H-M 'P 1'
_symmetry_Int_Tables_number 1
_symmetry_space_group_name_Hall 'P 1'
loop_
_atom_site_label
_atom_site_type_symbol
_atom_site_fract_x
_atom_site_fract_y
_atom_site_fract_z
Cr1 Cr 0.0000 0.0000 0.0000
Ag1 Ag 0.0000 0.0000 0.5000
W1 W 0.5000 0.5000 0.0000
N1 N 0.0000 0.5000 0.5000
N2 N 0.5000 0.0000 0.5000

Entry 7:
# NaCr2Ag2 (PBEsol, optimized geometry)
# Space-group type: I4/mmm
# Calculated total energy: -5.0505 eV per atom
# ΔE_f: 0.651 eV/atom
data_NaCr2Ag2
_cell_length_a 8.9023
_cell_length_b 8.9023
_cell_length_c 8.9023
_cell_angle_alpha 159.72
_cell_angle_beta 159.72
_cell_angle_gamma 28.84
_symmetry_space_group_name_H-M 'P 1'
_symmetry_Int_Tables_number 1
_symmetry_space_group_name_Hall 'P 1'
loop_
_atom_site_label
_atom_site_type_symbol
_atom_site_fract_x
_atom_site_fract_y
_atom_site_fract_z
Na1 Na 0.0000 0.0000 0.0000
Cr1 Cr 0.2500 0.7500 0.5000
Cr2 Cr 0.7500 0.2500 0.5000
Ag1 Ag 0.3810 0.3810 0.0000
Ag2 Ag 0.6190 0.6190 0.0000

Entry 8:
# Na2CrAgP (PBEsol, optimized geometry)
# Space-group type: P4/mmm
# Calculated total energy: -3.1925 eV per atom
# ΔE_f: 1.236 eV/atom
data_Na2CrAgP
_cell_length_a 5.1924
_cell_length_b 5.1924
_cell_length_c 4.9217
_cell_angle_alpha 90.00
_cell_angle_beta 90.00
_cell_angle_gamma 90.00
_symmetry_space_group_name_H-M 'P 1'
_symmetry_Int_Tables_number 1
_symmetry_space_group_name_Hall 'P 1'
loop_
_atom_site_label
_atom_site_type_symbol
_atom_site_fract_x
_atom_site_fract_y
_atom_site_fract_z
Na1 Na 0.0000 0.5000 0.0000
Na2 Na 0.5000 0.0000 0.0000
Cr1 Cr 0.0000 0.0000 0.0000
Ag1 Ag 0.0000 0.0000 0.5000
P1 P 0.5000 0.5000 0.5000

Calculated total moment, 6.87; 5.42; 0.67; 1.12; 11.43; 2.88; 0.00; 4.90 μB/cell (same order as the records).